w:
LiTlCdHg: relaxed, PBE-GGA.

a b c (Å): 3.272 3.272 8.732
angles (deg): 90.00 90.00 90.00
Fractional coordinates of all 4 atoms:
1 Li 0.000 0.000 0.000
2 Tl 0.000 0.000 0.496
3 Cd 0.500 0.500 0.786
4 Hg 0.500 0.500 0.195

- total moment (μB per formula unit) = 0.00
- space group = P4mm

---

x:
LiTlCdHg: relaxed, PBE-GGA.

a b c (Å): 5.069 5.069 5.069
angles (deg): 60.00 60.00 60.00
Fractional coordinates of all 4 atoms:
1 Li 0.000 0.000 0.000
2 Tl 0.750 0.750 0.750
3 Cd 0.500 0.500 0.500
4 Hg 0.250 0.250 0.250

- total moment (μB per formula unit) = 0.00
- space group = F-43m

---

Least stable = x